# Pr2NiSn3Rh4, relaxed, DFT PBE
data_Pr2NiSn3Rh4
_cell_length_a 4.344
_cell_length_b 4.344
_cell_length_c 11.062
_cell_angle_alpha 90.00
_cell_angle_beta 90.00
_cell_angle_gamma 90.00
_symmetry_space_group_name_H-M 'P -4 m 2'
_symmetry_Int_Tables_number 115
_symmetry_space_group_name_Hall 'P -4 -2'
loop_
_atom_site_label
_atom_site_type_symbol
_atom_site_fract_x
_atom_site_fract_y
_atom_site_fract_z
Pr1 Pr 0.000 0.500 0.239
Ni1 Ni 0.500 0.500 0.000
Sn1 Sn 0.000 0.000 0.000
Sn2 Sn 0.000 0.500 0.632
Rh1 Rh 0.000 0.000 0.500
Rh2 Rh 0.000 0.500 0.869
Rh3 Rh 0.500 0.500 0.500
# Total energy   -0.461 Ry/atom